A plane-wave DFT calculation with PBE was carried out for Pr3Y3ErSe8 after structural relaxation.

Unit cell a=8.2646 b=8.2646 c=20.5961 alpha=90.00 beta=90.00 gamma=120.00
Space group R-3m (No. 166, hexagonal axes)
Symmetry-distinct sites (fractional):
1 Pr 0.0000 0.5000 0.0000 (multiplicity 9)
2 Y 0.0000 0.5000 0.5000 (multiplicity 9)
3 Er 0.0000 0.0000 0.5000 (multiplicity 3)
4 Se 0.0000 0.0000 0.2449 (multiplicity 6)
5 Se 0.0022 0.5011 0.7544 (multiplicity 18)

Properties
magnetic moment = 0.0 μB per cell
calculated total energy = -282.13 eV/cell
raw formation energy = -179.3 kJ per mole of atoms